DFT (PBE) results for a geometry-optimized SrPrCdBi structure.

Results
As for the total moment: 0.0 μB per formula unit. Its density of states at the Fermi level is 1.121 states/eV per atom. The value obtained for the volume is 129 Å³/cell. The calculation puts the energy of formation at -482 meV/atom.

a = 5.670 Å, b = 5.670 Å, c = 5.670 Å
α = 60.00°, β = 60.00°, γ = 60.00°
Atoms (fractional coordinates):
Sr (0.000, 0.000, 0.000)
Pr (0.500, 0.500, 0.500)
Cd (0.750, 0.750, 0.750)
Bi (0.250, 0.250, 0.250)


DFT (PBE) results for a geometry-optimized PrGdPdAu structure.

Results
As for the total moment: 7.2 μB per formula unit. Its density of states at the Fermi level is 0.923 states/eV per atom. The value obtained for the volume is 97 Å³/cell. The calculation puts the energy of formation at -768 meV/atom.

a = 5.158 Å, b = 5.158 Å, c = 5.158 Å
α = 60.00°, β = 60.00°, γ = 60.00°
Atoms (fractional coordinates):
Pr (0.000, 0.000, 0.000)
Gd (0.500, 0.500, 0.500)
Pd (0.250, 0.250, 0.250)
Au (0.750, 0.750, 0.750)


DFT (PBE) results for a geometry-optimized Ca2NiAs4Pt3 structure.

Results
As for the total moment: 0.0 μB per formula unit. Its density of states at the Fermi level is 0.496 states/eV per atom. The value obtained for the volume is 191 Å³/cell. The calculation puts the energy of formation at -708 meV/atom.

a = 4.274 Å, b = 4.274 Å, c = 10.449 Å
α = 90.00°, β = 90.00°, γ = 90.00°
Atoms (fractional coordinates):
Ca (0.000, 0.500, 0.238)
Ca (0.500, 0.000, 0.762)
Ni (0.500, 0.500, 0.000)
As (0.000, 0.000, 0.500)
As (0.000, 0.500, 0.871)
As (0.500, 0.000, 0.129)
As (0.500, 0.500, 0.500)
Pt (0.000, 0.000, 0.000)
Pt (0.000, 0.500, 0.636)
Pt (0.500, 0.000, 0.364)